(i)
Here is a relaxed structure of Tb5Pm2Mg from the Alexandria database. Energies are from PBE-GGA.

Results
space group	No. 139
magnetic moment	0.00	μB/f.u.
N(E_F)	7.2	states/eV per cell
calculated density	7.34	g/cm3

abc: 7.055 7.055 7.093
angles: 119.82 119.82 90.00
Sites, in units of the cell vectors:
Tb 0.722 0.222 0.944
Tb 0.222 0.222 0.944
Tb 0.722 0.722 0.944
Tb 0.222 0.722 0.944
Tb 0.722 0.722 0.445
Pm 0.222 0.722 0.444
Pm 0.722 0.222 0.444
Mg 0.222 0.222 0.444


(ii)
Here is a relaxed structure of Tb5Pm2Mg from the Alexandria database. Energies are from PBE-GGA.

Results
space group	No. 15
magnetic moment	0.00	μB/f.u.
N(E_F)	24.5	states/eV per cell
calculated density	7.00	g/cm3

abc: 12.009 12.009 6.256
angles: 68.47 68.47 120.31
Sites, in units of the cell vectors:
Tb 0.636 0.364 0.750
Tb 0.364 0.636 0.250
Tb 0.579 0.850 0.458
Tb 0.953 0.809 0.182
Tb 0.850 0.579 0.958
Tb 0.191 0.047 0.318
Tb 0.809 0.953 0.682
Tb 0.047 0.191 0.818
Tb 0.150 0.421 0.042
Tb 0.421 0.150 0.542
Pm 0.500 0.000 0.000
Pm 0.500 0.500 0.000
Pm 0.500 0.500 0.500
Pm 0.000 0.500 0.500
Mg 0.773 0.227 0.250
Mg 0.227 0.773 0.750


Relative stability in meV/atom, measured from the most stable structure: (i) 0; (ii) 214


(i)
Here is a relaxed structure of Tb3PmMg from the Alexandria database. Energies are from PBE-GGA.

Results
space group	No. 44
magnetic moment	0.00	μB/f.u.
N(E_F)	6.6	states/eV per cell
calculated density	6.85	g/cm3

abc: 3.475 5.625 8.666
angles: 108.94 101.57 90.00
Sites, in units of the cell vectors:
Tb 0.923 0.423 0.846
Tb 0.347 0.847 0.694
Tb 0.235 0.235 0.469
Pm 0.638 0.638 0.277
Mg 0.034 0.034 0.068


(ii)
Here is a relaxed structure of Tb3PmMg from the Alexandria database. Energies are from PBE-GGA.

Results
space group	No. 194
magnetic moment	0.00	μB/f.u.
N(E_F)	11.4	states/eV per cell
calculated density	6.53	g/cm3

abc: 5.773 8.105 8.105
angles: 120.00 90.00 90.00
Sites, in units of the cell vectors:
Tb 0.750 0.611 0.806
Tb 0.250 0.806 0.611
Tb 0.250 0.389 0.194
Tb 0.750 0.194 0.389
Tb 0.250 0.806 0.194
Tb 0.750 0.194 0.806
Pm 0.750 0.667 0.333
Pm 0.250 0.333 0.667
Mg 0.000 0.000 0.000
Mg 0.500 0.000 0.000


Relative stability in meV/atom, measured from the most stable structure: (i) 0; (ii) 176


(i)
Here is a relaxed structure of Tb2PmMg from the Alexandria database. Energies are from PBE-GGA.

Results
space group	No. 123
magnetic moment	0.00	μB/f.u.
N(E_F)	6.9	states/eV per cell
calculated density	6.67	g/cm3

abc: 4.982 4.934 4.934
angles: 90.00 90.00 90.00
Sites, in units of the cell vectors:
Mg 0.500 0.000 0.000
Tb 0.000 0.000 0.500
Tb 0.000 0.500 0.000
Pm 0.500 0.500 0.500


(ii)
Here is a relaxed structure of Tb2PmMg from the Alexandria database. Energies are from PBE-GGA.

Results
space group	No. 225
magnetic moment	0.00	μB/f.u.
N(E_F)	5.4	states/eV per cell
calculated density	6.68	g/cm3

abc: 5.552 5.552 5.552
angles: 60.00 60.00 60.00
Sites, in units of the cell vectors:
Mg 0.500 0.500 0.500
Tb 0.250 0.250 0.250
Tb 0.750 0.750 0.750
Pm 0.000 0.000 0.000


Relative stability in meV/atom, measured from the most stable structure: (i) 0; (ii) 59


(i)
Here is a relaxed structure of Tb6Pm12Mg from the Alexandria database. Energies are from PBE-GGA.

Results
space group	No. 148
magnetic moment	0.00	μB/f.u.
N(E_F)	31.8	states/eV per cell
calculated density	7.03	g/cm3

abc: 8.628 8.628 8.628
angles: 88.79 88.79 88.79
Sites, in units of the cell vectors:
Tb 0.740 0.901 0.291
Tb 0.709 0.260 0.099
Tb 0.099 0.709 0.260
Tb 0.260 0.099 0.709
Tb 0.291 0.740 0.901
Tb 0.901 0.291 0.740
Pm 0.783 0.538 0.432
Pm 0.432 0.783 0.538
Pm 0.538 0.432 0.783
Pm 0.217 0.462 0.568
Pm 0.568 0.217 0.462
Pm 0.462 0.568 0.217
Pm 0.016 0.184 0.364
Pm 0.816 0.636 0.984
Pm 0.636 0.984 0.816
Pm 0.984 0.816 0.636
Pm 0.184 0.364 0.016
Pm 0.364 0.016 0.184
Mg 0.000 0.000 0.000


(ii)
Here is a relaxed structure of Tb6Pm12Mg from the Alexandria database. Energies are from PBE-GGA.

Results
space group	No. 166
magnetic moment	0.00	μB/f.u.
N(E_F)	27.9	states/eV per cell
calculated density	6.95	g/cm3

abc: 8.741 8.741 8.741
angles: 97.40 97.40 97.40
Sites, in units of the cell vectors:
Tb 0.136 0.136 0.407
Tb 0.864 0.593 0.864
Tb 0.593 0.864 0.864
Tb 0.864 0.864 0.593
Tb 0.136 0.407 0.136
Tb 0.407 0.136 0.136
Pm 0.582 0.170 0.582
Pm 0.170 0.582 0.582
Pm 0.582 0.582 0.170
Pm 0.418 0.830 0.418
Pm 0.830 0.418 0.418
Pm 0.418 0.418 0.830
Pm 0.261 0.000 0.739
Pm 0.261 0.739 0.000
Pm 0.000 0.261 0.739
Pm 0.739 0.000 0.261
Pm 0.739 0.261 0.000
Pm 0.000 0.739 0.261
Mg 0.000 0.000 0.000


Relative stability in meV/atom, measured from the most stable structure: (i) 0; (ii) 8


(i)
Here is a relaxed structure of Tb7Pm12Mg from the Alexandria database. Energies are from PBE-GGA.

Results
space group	No. 204
magnetic moment	0.00	μB/f.u.
N(E_F)	24.6	states/eV per cell
calculated density	6.26	g/cm3

abc: 9.969 9.969 9.969
angles: 109.47 109.47 109.47
Sites, in units of the cell vectors:
Tb 0.500 0.500 0.000
Tb 0.000 0.500 0.500
Tb 0.500 0.000 0.500
Tb 0.500 0.500 0.500
Tb 0.000 0.000 0.500
Tb 0.500 0.000 0.000
Tb 0.000 0.500 0.000
Pm 0.507 0.754 0.753
Pm 0.001 0.754 0.247
Pm 0.493 0.246 0.247
Pm 0.999 0.246 0.753
Pm 0.753 0.999 0.246
Pm 0.753 0.507 0.754
Pm 0.247 0.001 0.754
Pm 0.247 0.493 0.246
Pm 0.754 0.753 0.507
Pm 0.246 0.247 0.493
Pm 0.754 0.247 0.001
Pm 0.246 0.753 0.999
Mg 0.000 0.000 0.000


(ii)
Here is a relaxed structure of Tb7Pm12Mg from the Alexandria database. Energies are from PBE-GGA.

Results
space group	No. 148
magnetic moment	0.00	μB/f.u.
N(E_F)	29.5	states/eV per cell
calculated density	7.21	g/cm3

abc: 9.330 9.330 9.330
angles: 107.72 107.72 107.72
Sites, in units of the cell vectors:
Tb 0.124 0.677 0.009
Tb 0.323 0.991 0.876
Tb 0.991 0.876 0.323
Tb 0.500 0.500 0.500
Tb 0.009 0.124 0.677
Tb 0.677 0.009 0.124
Tb 0.876 0.323 0.991
Pm 0.780 0.304 0.577
Pm 0.696 0.423 0.220
Pm 0.371 0.062 0.291
Pm 0.938 0.709 0.629
Pm 0.423 0.220 0.696
Pm 0.709 0.629 0.938
Pm 0.291 0.371 0.062
Pm 0.577 0.780 0.304
Pm 0.062 0.291 0.371
Pm 0.629 0.938 0.709
Pm 0.304 0.577 0.780
Pm 0.220 0.696 0.423
Mg 0.000 0.000 0.000


Relative stability in meV/atom, measured from the most stable structure: (i) 526; (ii) 0


(i)
Here is a relaxed structure of Tb8PmMg2 from the Alexandria database. Energies are from PBE-GGA.

Results
space group	No. 12
magnetic moment	0.00	μB/f.u.
N(E_F)	15.5	states/eV per cell
calculated density	7.19	g/cm3

abc: 5.315 8.374 8.770
angles: 113.26 107.64 90.00
Sites, in units of the cell vectors:
Tb 0.600 0.471 0.200
Tb 0.312 0.049 0.625
Tb 0.149 0.206 0.298
Tb 0.055 0.735 0.109
Tb 0.851 0.794 0.702
Tb 0.688 0.951 0.375
Tb 0.400 0.529 0.800
Tb 0.945 0.265 0.891
Pm 0.500 0.000 0.000
Mg 0.226 0.630 0.452
Mg 0.774 0.370 0.548


(ii)
Here is a relaxed structure of Tb8PmMg2 from the Alexandria database. Energies are from PBE-GGA.

Results
space group	No. 12
magnetic moment	0.00	μB/f.u.
N(E_F)	13.3	states/eV per cell
calculated density	6.98	g/cm3

abc: 5.703 8.760 8.912
angles: 60.56 77.53 63.94
Sites, in units of the cell vectors:
Tb 0.867 0.097 0.225
Tb 0.867 0.322 0.775
Tb 0.296 0.409 0.000
Tb 0.500 0.786 0.427
Tb 0.500 0.214 0.573
Tb 0.704 0.591 0.000
Tb 0.133 0.678 0.225
Tb 0.133 0.903 0.775
Pm 0.500 0.000 0.000
Mg 0.000 0.307 0.386
Mg 0.000 0.693 0.614


Relative stability in meV/atom, measured from the most stable structure: (i) 0; (ii) 122


(i)
Here is a relaxed structure of Tb3Pm6Mg from the Alexandria database. Energies are from PBE-GGA.

Results
space group	No. 2
magnetic moment	0.00	μB/f.u.
N(E_F)	26.6	states/eV per cell
calculated density	6.87	g/cm3

abc: 3.546 7.352 29.326
angles: 82.89 97.20 118.86
Sites, in units of the cell vectors:
Tb 0.460 0.151 0.799
Tb 0.500 0.500 0.000
Tb 0.540 0.849 0.201
Tb 0.287 0.490 0.301
Tb 0.000 0.000 0.500
Tb 0.713 0.510 0.699
Pm 0.207 0.795 0.907
Pm 0.310 0.715 0.594
Pm 0.543 0.353 0.199
Pm 0.457 0.647 0.801
Pm 0.690 0.285 0.406
Pm 0.793 0.205 0.093
Pm 0.688 0.793 0.397
Pm 0.795 0.704 0.104
Pm 0.711 0.006 0.700
Pm 0.289 0.994 0.300
Pm 0.205 0.296 0.896
Pm 0.312 0.207 0.603
Mg 0.500 0.500 0.500
Mg 0.000 0.000 0.000


(ii)
Here is a relaxed structure of Tb3Pm6Mg from the Alexandria database. Energies are from PBE-GGA.

Results
space group	No. 36
magnetic moment	0.00	μB/f.u.
N(E_F)	23.3	states/eV per cell
calculated density	6.94	g/cm3

abc: 9.234 8.828 8.828
angles: 114.26 90.00 90.00
Sites, in units of the cell vectors:
Tb 0.444 0.967 0.679
Tb 0.944 0.679 0.967
Tb 0.429 0.534 0.466
Tb 0.929 0.466 0.534
Tb 0.944 0.033 0.321
Tb 0.444 0.321 0.033
Pm 0.102 0.859 0.708
Pm 0.602 0.708 0.859
Pm 0.266 0.520 0.831
Pm 0.766 0.831 0.520
Pm 0.284 0.938 0.062
Pm 0.652 0.298 0.702
Pm 0.152 0.702 0.298
Pm 0.784 0.062 0.938
Pm 0.266 0.169 0.480
Pm 0.766 0.480 0.169
Pm 0.102 0.292 0.141
Pm 0.602 0.141 0.292
Mg 0.999 0.244 0.756
Mg 0.499 0.756 0.244


Relative stability in meV/atom, measured from the most stable structure: (i) 0; (ii) 45


(i)
Here is a relaxed structure of TbPmMg3 from the Alexandria database. Energies are from PBE-GGA.

Results
space group	No. 166
magnetic moment	0.48	μB/f.u.
N(E_F)	11.2	states/eV per cell
calculated density	4.45	g/cm3

abc: 9.043 9.043 9.043
angles: 40.51 40.51 40.51
Each line ends with the local moment (μB).
Sites, in units of the cell vectors:
Tb 0.166 0.166 0.166  0.12
Tb 0.834 0.834 0.834  0.12
Pm 0.432 0.432 0.432  0.10
Pm 0.568 0.568 0.568  0.10
Mg 0.123 0.123 0.611  0.00
Mg 0.611 0.123 0.123  0.00
Mg 0.123 0.611 0.123  0.00
Mg 0.877 0.877 0.389  0.00
Mg 0.877 0.389 0.877  0.00
Mg 0.389 0.877 0.877  0.00


(ii)
Here is a relaxed structure of TbPmMg3 from the Alexandria database. Energies are from PBE-GGA.

Results
space group	No. 15
magnetic moment	0.00	μB/f.u.
N(E_F)	22.3	states/eV per cell
calculated density	4.57	g/cm3

abc: 5.217 11.559 11.559
angles: 54.27 76.93 76.93
Sites, in units of the cell vectors:
Tb 0.050 0.321 0.077
Tb 0.550 0.077 0.321
Tb 0.450 0.923 0.679
Tb 0.950 0.679 0.923
Pm 0.250 0.629 0.371
Pm 0.250 0.126 0.874
Pm 0.750 0.371 0.629
Pm 0.750 0.874 0.126
Mg 0.648 0.227 0.977
Mg 0.148 0.977 0.227
Mg 0.852 0.023 0.773
Mg 0.352 0.773 0.023
Mg 0.945 0.162 0.447
Mg 0.445 0.447 0.162
Mg 0.555 0.553 0.838
Mg 0.055 0.838 0.553
Mg 0.862 0.502 0.272
Mg 0.362 0.272 0.502
Mg 0.638 0.728 0.498
Mg 0.138 0.498 0.728


Relative stability in meV/atom, measured from the most stable structure: (i) 53; (ii) 0


(i)
Here is a relaxed structure of Tb5PmMg from the Alexandria database. Energies are from PBE-GGA.

Results
space group	No. 44
magnetic moment	0.00	μB/f.u.
N(E_F)	10.5	states/eV per cell
calculated density	7.09	g/cm3

abc: 10.845 6.551 7.087
angles: 117.53 139.92 90.00
Sites, in units of the cell vectors:
Tb 0.313 0.239 0.478
Tb 0.108 0.500 0.000
Tb 0.835 0.761 0.522
Tb 0.360 0.233 0.000
Tb 0.360 0.767 0.000
Pm 0.725 0.000 0.000
Mg 0.830 0.500 0.000


(ii)
Here is a relaxed structure of Tb5PmMg from the Alexandria database. Energies are from PBE-GGA.

Results
space group	No. 15
magnetic moment	0.00	μB/f.u.
N(E_F)	20.4	states/eV per cell
calculated density	7.08	g/cm3

abc: 7.879 5.951 12.863
angles: 90.40 90.00 131.45
Sites, in units of the cell vectors:
Tb 0.159 0.594 0.114
Tb 0.836 0.398 0.611
Tb 0.436 0.594 0.614
Tb 0.063 0.000 0.250
Tb 0.438 0.602 0.889
Tb 0.562 0.398 0.111
Tb 0.937 0.000 0.750
Tb 0.564 0.406 0.386
Tb 0.164 0.602 0.389
Tb 0.841 0.406 0.886
Pm 0.671 0.000 0.250
Pm 0.329 0.000 0.750
Mg 0.000 0.000 0.000
Mg 0.000 0.000 0.500


Relative stability in meV/atom, measured from the most stable structure: (i) 90; (ii) 0